No. 1
Entry from OQMD: a geometry-optimized Lu2Nb4In3N3 structure (PBE).

Structure (CIF):
```
data_Lu2Nb4In3N3
_chemical_formula_sum 'Lu8 Nb16 In12 N12'
_symmetry_space_group_name_H-M 'C 1 2/c 1'
_symmetry_Int_Tables_number 15
_cell_length_a 9.974
_cell_length_b 5.812
_cell_length_c 14.384
_cell_angle_alpha 90.00
_cell_angle_beta 103.03
_cell_angle_gamma 90.00
loop_
_symmetry_equiv_pos_as_xyz
'x,y,z'
'-x,-y,-z'
'-x,y,-z+1/2'
'x,-y,z+1/2'
'x+1/2,y+1/2,z'
'-x+1/2,-y+1/2,-z'
'-x+1/2,y+1/2,-z+1/2'
'x+1/2,-y+1/2,z+1/2'
loop_
_atom_site_label
_atom_site_type_symbol
_atom_site_fract_x
_atom_site_fract_y
_atom_site_fract_z
Lu1 Lu 0.048 0.081 0.402
Nb1 Nb 0.109 0.424 0.572
Nb2 Nb 0.222 0.418 0.929
In1 In 0.000 0.489 0.250
In2 In 0.205 0.125 0.750
N1 N 0.078 0.234 0.000
N2 N 0.250 0.250 0.500
```

---

No. 2
Entry from OQMD: a geometry-optimized Lu4InNiN2 structure (PBE).

Structure (CIF):
```
data_Lu4InNiN2
_chemical_formula_sum 'Lu4 In1 Ni1 N2'
_symmetry_space_group_name_H-M 'P -6 m 2'
_symmetry_Int_Tables_number 187
_symmetry_space_group_name_Hall 'P -6 2'
_cell_length_a 3.3998
_cell_length_b 3.3998
_cell_length_c 14.4253
_cell_angle_alpha 90.00
_cell_angle_beta 90.00
_cell_angle_gamma 120.00
loop_
_atom_site_label
_atom_site_type_symbol
_atom_site_fract_x
_atom_site_fract_y
_atom_site_fract_z
Lu1 Lu 0.0000 0.0000 0.1334
Lu2 Lu 0.6667 0.3333 0.3197
In1 In 0.0000 0.0000 0.5000
Ni1 Ni 0.6667 0.3333 0.0000
N1 N 0.3333 0.6667 0.2385
```

---

No. 3
Entry from OQMD: a geometry-optimized Lu4InSbN2 structure (PBE).

Structure (CIF):
```
data_Lu4InSbN2
_chemical_formula_sum 'Lu4 In1 Sb1 N2'
_symmetry_space_group_name_H-M 'P -6 m 2'
_symmetry_Int_Tables_number 187
_symmetry_space_group_name_Hall 'P -6 2'
_cell_length_a 3.4542
_cell_length_b 3.4542
_cell_length_c 14.9061
_cell_angle_alpha 90.00
_cell_angle_beta 90.00
_cell_angle_gamma 120.00
loop_
_atom_site_label
_atom_site_type_symbol
_atom_site_fract_x
_atom_site_fract_y
_atom_site_fract_z
Lu1 Lu 0.0000 0.0000 0.1603
Lu2 Lu 0.6667 0.3333 0.3309
In1 In 0.0000 0.0000 0.5000
Sb1 Sb 0.6667 0.3333 0.0000
N1 N 0.3333 0.6667 0.2437
```

---

Number 1: DFT total energy -7.660 eV per atom. Number 2: DFT total energy -6.403 eV per atom. Number 3: DFT total energy -6.356 eV per atom.